No. 1
Below is a geometry-optimized PtRh2Pb structure, with properties calculated at the PBE level.

Cell lengths 4.003, 4.003, 9.813 Å; angles 78.23, 78.23, 90.00 degrees
Sites, in units of the cell vectors:
Rh 0.579 0.125 0.250
Rh 0.875 0.829 0.750
Rh 0.375 0.421 0.750
Rh 0.171 0.625 0.250
Pt 0.500 0.500 0.000
Pt 0.250 0.750 0.500
Pb 0.000 0.000 0.000
Pb 0.750 0.250 0.500

Summary:
calculated formation energy = 0.303 eV per atom
relative energy among the computed polymorphs = 319 meV/atom
Fermi-level density of states = 12.95 states/eV per cell

---

No. 2
Below is a geometry-optimized Tc2HgS2 structure, with properties calculated at the PBE level.

Cell lengths 3.867, 3.867, 6.215 Å; angles 71.88, 71.88, 90.00 degrees
Sites, in units of the cell vectors:
Tc 0.630 0.630 0.739
Tc 0.370 0.370 0.261
S 0.750 0.250 0.500
S 0.250 0.750 0.500
Hg 0.000 0.000 0.000

Summary:
formation energy (no corrections) = 0.16 eV/atom
Fermi-level density of states = 2.35 states/eV per cell

---

No. 3
Below is a geometry-optimized CdAsP2 structure, with properties calculated at the PBE level.

Cell lengths 4.741, 4.741, 4.741 Å; angles 122.01, 122.01, 86.55 degrees
Sites, in units of the cell vectors:
P 0.000 0.000 0.000
P 0.250 0.750 0.500
As 0.500 0.500 0.000
Cd 0.750 0.250 0.500

Summary:
calculated formation energy = 0.615 eV per atom
relative energy among the computed polymorphs = 465 meV/atom
Fermi-level density of states = 1.82 states/eV per cell

---

No. 4
Below is a geometry-optimized CrPbSN2 structure, with properties calculated at the PBE level.

Cell lengths 4.292, 4.292, 5.407 Å; angles 90.00, 90.00, 90.00 degrees
Sites, in units of the cell vectors:
Pb 0.000 0.000 0.000
N 0.500 0.000 0.000
N 0.000 0.500 0.000
Cr 0.500 0.500 0.500
S 0.000 0.000 0.500

Summary:
relative energy among the computed polymorphs = 1339 meV/atom
formation energy (no corrections) = 1.69 eV/atom
Fermi-level density of states = 2.10 states/eV per cell

---

No. 5
Below is a geometry-optimized NbPdSI structure, with properties calculated at the PBE level.

Cell lengths 3.745, 3.479, 13.021 Å; angles 90.00, 90.00, 90.00 degrees
Sites, in units of the cell vectors:
Nb 0.000 0.000 0.390
Nb 0.000 0.500 0.890
I 0.500 0.000 0.007
I 0.500 0.500 0.507
Pd 0.500 0.000 0.236
Pd 0.500 0.500 0.736
S 0.000 0.500 0.252
S 0.000 0.000 0.752

Summary:
relative energy among the computed polymorphs = 104 meV/atom
formation energy (no corrections) = -0.23 eV/atom
Fermi-level density of states = 4.73 states/eV per cell

---

No. 6
Below is a geometry-optimized Sc3Cd7Ag2 structure, with properties calculated at the PBE level.

Cell lengths 3.204, 5.559, 15.179 Å; angles 74.93, 90.00, 90.00 degrees
Sites, in units of the cell vectors:
Sc 0.000 0.100 0.340
Sc 0.500 0.500 0.000
Sc 0.000 0.900 0.660
Ag 0.500 0.617 0.326
Ag 0.500 0.383 0.674
Cd 0.500 0.948 0.830
Cd 0.000 0.448 0.831
Cd 0.000 0.000 0.000
Cd 0.500 0.052 0.170
Cd 0.000 0.552 0.169
Cd 0.500 0.251 0.499
Cd 0.500 0.749 0.501

Summary:
calculated formation energy = -0.115 eV per atom
Fermi-level density of states = 8.35 states/eV per cell